This record from the Alexandria database describes a relaxed CsK2CrF6 crystal. The functional is PBE+U.

```
data_CsK2CrF6
_cell_length_a 6.2676
_cell_length_b 6.7985
_cell_length_c 10.8991
_cell_angle_alpha 90.00
_cell_angle_beta 124.14
_cell_angle_gamma 90.00
_symmetry_space_group_name_H-M 'P 1 21/c 1'
_symmetry_Int_Tables_number 14
loop_
_symmetry_equiv_pos_as_xyz
'x,y,z'
'-x,-y,-z'
'-x,y+1/2,-z+1/2'
'x,-y+1/2,z+1/2'
loop_
_atom_site_label
_atom_site_type_symbol
_atom_site_fract_x
_atom_site_fract_y
_atom_site_fract_z
Cs1 Cs 0.0000 0.0000 0.0000
K1 K 0.2200 0.0288 0.7273
Cr1 Cr 0.5000 0.0000 0.5000
F1 F 0.2144 0.1473 0.4804
F2 F 0.2573 0.7177 0.8901
F3 F 0.4256 0.1136 0.3141
```

Properties
E_tot: -5.017 eV per atom